A plane-wave DFT calculation with PBE was carried out for a relaxed Ca2SnH crystal.

abc: 9.1612 9.1612 3.8797
angles: 90.00 90.00 145.18
Last column: nearest neighbours and their distance in Å.
Positions (direct):
Ca 0.0000 0.0000 0.0000  4 H 2.22
Ca 0.1836 0.8164 0.5000  1 H 2.14
Ca 0.5000 0.5000 0.5000  4 H 2.94, 4 Sn 3.23
Ca 0.8164 0.1836 0.5000  1 H 2.14
Sn 0.3526 0.6474 0.0000  8 Ca 3.23-3.53
Sn 0.6474 0.3526 0.0000  8 Ca 3.23-3.53
H 0.0613 0.9387 0.5000  3 Ca 2.14-2.22, 1 H 2.14
H 0.9387 0.0613 0.5000  3 Ca 2.14-2.22, 1 H 2.14

## Properties
The volume is 23.2 Å³/atom. As for the space group: No. 65. The value obtained for the relative energy among the computed polymorphs is 0 meV per atom. The total DFT energy (no corrections) is -3.34 eV per atom. The total moment is 0.00 μB per atom.

=====

A plane-wave DFT calculation with PBE was carried out for a relaxed Ca2SnH6 crystal.

abc: 5.3808 5.3808 5.3808
angles: 60.00 60.00 60.00
Last column: nearest neighbours and their distance in Å.
Positions (direct):
Ca 0.2500 0.2500 0.2500  12 H 2.69
Ca 0.7500 0.7500 0.7500  12 H 2.69
Sn 0.0000 0.0000 0.0000  6 H 2.05
H 0.2693 0.2693 0.7307  1 Sn 2.05
H 0.2693 0.7307 0.2693  1 Sn 2.05
H 0.2693 0.7307 0.7307  1 Sn 2.05
H 0.7307 0.2693 0.2693  1 Sn 2.05
H 0.7307 0.2693 0.7307  1 Sn 2.05
H 0.7307 0.7307 0.2693  1 Sn 2.05

## Properties
The volume is 12.2 Å³/atom. As for the space group: No. 225. The total DFT energy (no corrections) is -3.02 eV per atom. The total moment is 0.00 μB per atom.

=====

A plane-wave DFT calculation with PBE was carried out for a relaxed Ca2SnH2 crystal.

abc: 7.6706 7.6706 3.1530
angles: 90.00 90.00 90.00
Last column: nearest neighbours and their distance in Å.
Positions (direct):
Ca 0.1481 0.3519 0.0000  4 H 2.48
Ca 0.3519 0.8519 0.0000  4 H 2.48
Ca 0.6481 0.1481 0.0000  4 H 2.48
Ca 0.8519 0.6481 0.0000  4 H 2.48
Sn 0.0000 0.0000 0.5000  2 Sn 3.15, 4 H 3.19, 8 Ca 3.33
Sn 0.5000 0.5000 0.5000  2 Sn 3.15, 4 H 3.19, 8 Ca 3.33
H 0.0951 0.5951 0.5000  1 H 2.06
H 0.4049 0.0951 0.5000  1 H 2.06
H 0.5951 0.9049 0.5000  1 H 2.06
H 0.9049 0.4049 0.5000  1 H 2.06

## Properties
The volume is 18.6 Å³/atom. As for the space group: No. 127. The value obtained for the relative energy among the computed polymorphs is 386 meV per atom. The total DFT energy (no corrections) is -3.18 eV per atom. The total moment is 0.00 μB per atom.

=====

A plane-wave DFT calculation with PBE was carried out for a relaxed Ca3SnH3 crystal.

abc: 8.6972 8.6972 8.6972
angles: 44.82 44.82 44.82
Last column: nearest neighbours and their distance in Å.
Positions (direct):
Ca 0.1056 0.4555 0.7466  4 H 2.28-2.36
Ca 0.2534 0.8944 0.5445  4 H 2.28-2.36
Ca 0.4555 0.7466 0.1056  4 H 2.28-2.36
Ca 0.5445 0.2534 0.8944  4 H 2.28-2.36
Ca 0.7466 0.1056 0.4555  4 H 2.28-2.36
Ca 0.8944 0.5445 0.2534  4 H 2.28-2.36
Sn 0.3323 0.3323 0.3323  6 Ca 3.21-3.23
Sn 0.6677 0.6677 0.6677  6 Ca 3.21-3.23
H 0.1330 0.8268 0.4347  4 Ca 2.28-2.36
H 0.1732 0.5653 0.8670  4 Ca 2.28-2.36
H 0.4347 0.1330 0.8268  4 Ca 2.28-2.36
H 0.5653 0.8670 0.1732  4 Ca 2.28-2.36
H 0.8268 0.4347 0.1330  4 Ca 2.28-2.36
H 0.8670 0.1732 0.5653  4 Ca 2.28-2.36

## Properties
The volume is 21.2 Å³/atom. As for the space group: No. 148. The total DFT energy (no corrections) is -3.33 eV per atom. The total moment is 0.07 μB per atom.

=====

A plane-wave DFT calculation with PBE was carried out for a relaxed CaSnH2 crystal.

abc: 6.4081 6.4081 6.4081
angles: 33.36 33.36 33.36
Last column: nearest neighbours and their distance in Å.
Positions (direct):
Ca 0.0000 0.0000 0.0000  6 H 2.26
Sn 0.5000 0.5000 0.5000  2 H 2.25
H 0.3757 0.3757 0.3757  1 Sn 2.25, 3 Ca 2.26
H 0.6243 0.6243 0.6243  1 Sn 2.25, 3 Ca 2.26

## Properties
The volume is 17.7 Å³/atom. As for the space group: No. 166. The value obtained for the relative energy among the computed polymorphs is 0 meV per atom. The total DFT energy (no corrections) is -3.39 eV per atom. The total moment is 0.00 μB per atom.

=====

A plane-wave DFT calculation with PBE was carried out for a relaxed Ca5Sn2H2 crystal.

abc: 11.3878 11.3878 11.3878
angles: 49.67 145.39 145.51
Last column: nearest neighbours and their distance in Å.
Positions (direct):
Ca 0.2505 0.0038 0.2543  2 H 2.39
Ca 0.2505 0.4962 0.7467  2 H 2.39
Ca 0.2516 0.1157 0.6359  2 H 2.33-2.35
Ca 0.4797 0.6157 0.3641  2 H 2.33-2.35
Ca 0.7299 0.1212 0.3281  1 H 2.41
Ca 0.7299 0.9018 0.1088  1 H 2.41
Ca 0.7495 0.5038 0.2533  2 H 2.39
Ca 0.7495 0.9962 0.7457  2 H 2.39
Ca 0.7931 0.4018 0.6719  1 H 2.41
Ca 0.7931 0.6212 0.8912  1 H 2.41
Sn 0.2416 0.1353 0.8858  7 Ca 3.09-3.39
Sn 0.2416 0.8558 0.6063  7 Ca 3.09-3.39
Sn 0.2495 0.3558 0.1142  7 Ca 3.09-3.39
Sn 0.2495 0.6353 0.3937  7 Ca 3.09-3.39
H 0.6325 0.4591 0.6734  4 Ca 2.33-2.41
H 0.7504 0.2504 0.5000  4 Ca 2.39
H 0.7504 0.7504 0.0000  4 Ca 2.39
H 0.7857 0.9591 0.3266  4 Ca 2.33-2.41

## Properties
The volume is 26.3 Å³/atom. As for the space group: No. 46. The value obtained for the relative energy among the computed polymorphs is 0 meV per atom. The total DFT energy (no corrections) is -3.30 eV per atom. The total moment is 0.00 μB per atom.

=====

A plane-wave DFT calculation with PBE was carried out for a relaxed Ca2SnH crystal.

abc: 6.3557 5.9453 12.0465
angles: 90.00 118.88 90.00
Last column: nearest neighbours and their distance in Å.
Positions (direct):
Ca 0.0293 0.2438 0.4243  2 H 2.33-2.57
Ca 0.0293 0.7562 0.9243  2 H 2.33-2.57
Ca 0.3091 0.1997 0.8404  2 H 2.30-2.37
Ca 0.3091 0.8003 0.3404  2 H 2.30-2.37
Ca 0.6909 0.1997 0.6596  2 H 2.30-2.37
Ca 0.6909 0.8003 0.1596  2 H 2.30-2.37
Ca 0.9707 0.2438 0.0757  2 H 2.33-2.57
Ca 0.9707 0.7562 0.5757  2 H 2.33-2.57
Sn 0.4923 0.3041 0.3691  1 Sn 2.92, 4 Ca 3.13-3.17
Sn 0.4923 0.6959 0.8691  1 Sn 2.92, 4 Ca 3.13-3.17
Sn 0.5077 0.3041 0.1309  1 Sn 2.92, 4 Ca 3.13-3.17
Sn 0.5077 0.6959 0.6309  1 Sn 2.92, 4 Ca 3.13-3.17
H 0.0313 0.1356 0.6317  4 Ca 2.30-2.57
H 0.0313 0.8644 0.1317  4 Ca 2.30-2.57
H 0.9687 0.1356 0.8683  4 Ca 2.30-2.57
H 0.9687 0.8644 0.3683  4 Ca 2.30-2.57

## Properties
The volume is 24.9 Å³/atom. As for the space group: No. 13. The value obtained for the relative energy among the computed polymorphs is 27 meV per atom. The total DFT energy (no corrections) is -3.32 eV per atom. The total moment is 0.00 μB per atom.

=====

A plane-wave DFT calculation with PBE was carried out for a relaxed CaSnH3 crystal.

abc: 4.1899 4.1899 4.1899
angles: 90.00 90.00 90.00
Last column: nearest neighbours and their distance in Å.
Positions (direct):
Ca 0.0000 0.0000 0.0000  12 H 2.96
Sn 0.5000 0.5000 0.5000  6 H 2.09
H 0.0000 0.5000 0.5000  2 Sn 2.09
H 0.5000 0.0000 0.5000  2 Sn 2.09
H 0.5000 0.5000 0.0000  2 Sn 2.09

## Properties
The volume is 14.7 Å³/atom. As for the space group: No. 221. The value obtained for the relative energy among the computed polymorphs is 122 meV per atom. The total DFT energy (no corrections) is -3.00 eV per atom. The total moment is 0.00 μB per atom.

=====

A plane-wave DFT calculation with PBE was carried out for a relaxed Ca8Sn3H2 crystal.

abc: 9.7328 9.7328 9.7328
angles: 41.47 41.47 41.47
Last column: nearest neighbours and their distance in Å.
Positions (direct):
Ca 0.1832 0.1832 0.1832  1 H 2.23
Ca 0.2277 0.2277 0.7244  1 H 2.27
Ca 0.2277 0.7244 0.2277  1 H 2.27
Ca 0.2756 0.7723 0.7723  1 H 2.27
Ca 0.7244 0.2277 0.2277  1 H 2.27
Ca 0.7723 0.2756 0.7723  1 H 2.27
Ca 0.7723 0.7723 0.2756  1 H 2.27
Ca 0.8168 0.8168 0.8168  1 H 2.23
Sn 0.2961 0.2961 0.2961  4 Ca 3.01-3.26
Sn 0.5000 0.5000 0.5000  6 Ca 3.46
Sn 0.7039 0.7039 0.7039  4 Ca 3.01-3.26
H 0.0997 0.0997 0.0997  4 Ca 2.23-2.27
H 0.9003 0.9003 0.9003  4 Ca 2.23-2.27

## Properties
The volume is 28.1 Å³/atom. As for the space group: No. 166. The total DFT energy (no corrections) is -3.19 eV per atom. The total moment is 0.00 μB per atom.

=====

A plane-wave DFT calculation with PBE was carried out for a relaxed Ca4Sn3H2 crystal.

abc: 8.3307 8.3307 7.0041
angles: 101.93 101.93 75.32
Last column: nearest neighbours and their distance in Å.
Positions (direct):
Ca 0.0400 0.7086 0.5081  2 H 2.30-2.34
Ca 0.2914 0.9600 0.9919  2 H 2.30-2.34
Ca 0.3119 0.3743 0.8544  2 H 2.28-2.29
Ca 0.3743 0.3119 0.3544  2 H 2.28-2.29
Ca 0.6257 0.6881 0.6456  2 H 2.28-2.29
Ca 0.6881 0.6257 0.1456  2 H 2.28-2.29
Ca 0.7086 0.0400 0.0081  2 H 2.30-2.34
Ca 0.9600 0.2914 0.4919  2 H 2.30-2.34
Sn 0.0040 0.6846 0.9841  2 Sn 2.94-3.15, 2 Ca 3.25-3.27
Sn 0.3154 0.9960 0.5159  2 Sn 2.94-3.15, 2 Ca 3.25-3.27
Sn 0.3292 0.6708 0.2500  2 Sn 2.94, 4 Ca 3.14-3.22
Sn 0.6708 0.3292 0.7500  2 Sn 2.94, 4 Ca 3.14-3.22
Sn 0.6846 0.0040 0.4841  2 Sn 2.94-3.15, 2 Ca 3.25-3.27
Sn 0.9960 0.3154 0.0159  2 Sn 2.94-3.15, 2 Ca 3.25-3.27
H 0.1740 0.4324 0.5502  4 Ca 2.28-2.34
H 0.4324 0.1740 0.0502  4 Ca 2.28-2.34
H 0.5676 0.8260 0.9498  4 Ca 2.28-2.34
H 0.8260 0.5676 0.4498  4 Ca 2.28-2.34

## Properties
The volume is 25.2 Å³/atom. As for the space group: No. 15. The total DFT energy (no corrections) is -3.50 eV per atom. The total moment is 0.00 μB per atom.

=====

A plane-wave DFT calculation with PBE was carried out for a relaxed CaSnH3 crystal.

abc: 4.1666 4.1666 4.1666
angles: 90.00 90.00 90.00
Last column: nearest neighbours and their distance in Å.
Positions (direct):
Ca 0.0000 0.0000 0.0000  6 H 2.08
Sn 0.5000 0.5000 0.5000  12 H 2.95
H 0.0000 0.0000 0.5000  2 Ca 2.08
H 0.0000 0.5000 0.0000  2 Ca 2.08
H 0.5000 0.0000 0.0000  2 Ca 2.08

## Properties
The volume is 14.5 Å³/atom. As for the space group: No. 221. The value obtained for the relative energy among the computed polymorphs is 0 meV per atom. The total DFT energy (no corrections) is -3.12 eV per atom. The total moment is 0.00 μB per atom.

=====

A plane-wave DFT calculation with PBE was carried out for a relaxed Ca7Sn2H2 crystal.

abc: 7.3124 7.3124 6.2428
angles: 99.35 99.35 93.44
Last column: nearest neighbours and their distance in Å.
Positions (direct):
Ca 0.0000 0.0000 0.0000  2 H 2.30
Ca 0.1456 0.4811 0.7885  1 H 2.38
Ca 0.3582 0.3582 0.2973  1 H 2.21
Ca 0.4811 0.1456 0.7885  1 H 2.38
Ca 0.5189 0.8544 0.2115  1 H 2.38
Ca 0.6418 0.6418 0.7027  1 H 2.21
Ca 0.8544 0.5189 0.2115  1 H 2.38
Sn 0.2126 0.7874 0.5000  6 Ca 3.16-3.48
Sn 0.7874 0.2126 0.5000  6 Ca 3.16-3.48
H 0.2225 0.2225 0.9617  4 Ca 2.21-2.38
H 0.7775 0.7775 0.0383  4 Ca 2.21-2.38

## Properties
The volume is 29.4 Å³/atom. As for the space group: No. 12. The total DFT energy (no corrections) is -2.91 eV per atom. The total moment is 0.04 μB per atom.

=====

Please write out number 7 again, unchanged.
A plane-wave DFT calculation with PBE was carried out for a relaxed Ca2SnH crystal.

abc: 6.3557 5.9453 12.0465
angles: 90.00 118.88 90.00
Last column: nearest neighbours and their distance in Å.
Positions (direct):
Ca 0.0293 0.2438 0.4243  2 H 2.33-2.57
Ca 0.0293 0.7562 0.9243  2 H 2.33-2.57
Ca 0.3091 0.1997 0.8404  2 H 2.30-2.37
Ca 0.3091 0.8003 0.3404  2 H 2.30-2.37
Ca 0.6909 0.1997 0.6596  2 H 2.30-2.37
Ca 0.6909 0.8003 0.1596  2 H 2.30-2.37
Ca 0.9707 0.2438 0.0757  2 H 2.33-2.57
Ca 0.9707 0.7562 0.5757  2 H 2.33-2.57
Sn 0.4923 0.3041 0.3691  1 Sn 2.92, 4 Ca 3.13-3.17
Sn 0.4923 0.6959 0.8691  1 Sn 2.92, 4 Ca 3.13-3.17
Sn 0.5077 0.3041 0.1309  1 Sn 2.92, 4 Ca 3.13-3.17
Sn 0.5077 0.6959 0.6309  1 Sn 2.92, 4 Ca 3.13-3.17
H 0.0313 0.1356 0.6317  4 Ca 2.30-2.57
H 0.0313 0.8644 0.1317  4 Ca 2.30-2.57
H 0.9687 0.1356 0.8683  4 Ca 2.30-2.57
H 0.9687 0.8644 0.3683  4 Ca 2.30-2.57

## Properties
The volume is 24.9 Å³/atom. As for the space group: No. 13. The value obtained for the relative energy among the computed polymorphs is 27 meV per atom. The total DFT energy (no corrections) is -3.32 eV per atom. The total moment is 0.00 μB per atom.

=====

Repeat the fourth record exactly.
A plane-wave DFT calculation with PBE was carried out for a relaxed Ca3SnH3 crystal.

abc: 8.6972 8.6972 8.6972
angles: 44.82 44.82 44.82
Last column: nearest neighbours and their distance in Å.
Positions (direct):
Ca 0.1056 0.4555 0.7466  4 H 2.28-2.36
Ca 0.2534 0.8944 0.5445  4 H 2.28-2.36
Ca 0.4555 0.7466 0.1056  4 H 2.28-2.36
Ca 0.5445 0.2534 0.8944  4 H 2.28-2.36
Ca 0.7466 0.1056 0.4555  4 H 2.28-2.36
Ca 0.8944 0.5445 0.2534  4 H 2.28-2.36
Sn 0.3323 0.3323 0.3323  6 Ca 3.21-3.23
Sn 0.6677 0.6677 0.6677  6 Ca 3.21-3.23
H 0.1330 0.8268 0.4347  4 Ca 2.28-2.36
H 0.1732 0.5653 0.8670  4 Ca 2.28-2.36
H 0.4347 0.1330 0.8268  4 Ca 2.28-2.36
H 0.5653 0.8670 0.1732  4 Ca 2.28-2.36
H 0.8268 0.4347 0.1330  4 Ca 2.28-2.36
H 0.8670 0.1732 0.5653  4 Ca 2.28-2.36

## Properties
The volume is 21.2 Å³/atom. As for the space group: No. 148. The total DFT energy (no corrections) is -3.33 eV per atom. The total moment is 0.07 μB per atom.

=====

> Look up the total DFT energy (no corrections) of the eleventh one.

-3.12 eV per atom

=====

> What is the formula in the sixth record?

Ca5Sn2H2